# RbLiIn2Bi2

RbLiIn2Bi2 after structural relaxation (GGA-PBE, Alexandria via LeMat-Bulk).

Cell: 5.3038 5.3038 8.5063 Å, 90.00 90.00 120.00°
Space group P-3m1 (No. 164)
One atom of each set of equivalent atoms:
Rb: 0.0000 0.0000 0.0000 (multiplicity 1)
Li: 0.0000 0.0000 0.5000 (multiplicity 1)
In: 0.3333 0.6667 0.6374 (multiplicity 2)
Bi: 0.3333 0.6667 0.2781 (multiplicity 2)

- Volume: 34.5 Å³ per atom
- Energy of formation from the pure elements: -1.53 eV/f.u.
- DOS at the Fermi energy: 0.87 states/eV per cell
- E_tot: -2.9420 eV/atom